1.
Crystalline Li2Zn3Cu4 at its relaxed geometry. Source: the Alexandria database, functional PBE-GGA.

## Properties
Uncorrected energy, eV/cell: -25.11
Size of the total moment, μB/f.u.: 0.000
DFT formation energy, meV/atom: -120

Cell: 4.505 4.586 6.603 Å, 78.07 82.02 60.79°
Space group P-1 (No. 2)
Symmetry-distinct sites (fractional):
Li: 0.150 0.393 0.330
Zn: 0.182 0.937 0.667
Zn: 0.500 0.500 0.000
Cu: 0.175 0.159 0.995
Cu: 0.480 0.725 0.334

***

2.
Crystalline LiZn2Cu at its relaxed geometry. Source: the Alexandria database, functional PBE-GGA.

## Properties
Uncorrected energy, eV/cell: -18.01
Size of the total moment, μB/f.u.: 0.000
DFT formation energy, meV/atom: -112

Cell: 5.187 8.416 2.637 Å, 90.00 109.44 90.00°
Space group C2/m (No. 12)
Symmetry-distinct sites (fractional):
Li: 0.000 0.000 0.000
Zn: 0.250 0.250 0.500
Cu: 0.000 0.500 0.000

***

3.
Crystalline Li4Zn4Cu3 at its relaxed geometry. Source: the Alexandria database, functional PBE-GGA.

## Properties
Uncorrected energy, eV/cell: -51.25
Polymorph energy (0 for the lowest one), meV/atom: 71
Size of the total moment, μB/f.u.: 0.000
DFT formation energy, meV/atom: -53

Cell: 8.128 4.089 9.578 Å, 90.00 90.00 90.00°
Space group Amm2 (No. 38)
Symmetry-distinct sites (fractional):
Li: 0.000 0.000 0.000
Li: 0.237 0.000 0.489
Li: 0.500 0.000 0.968
Zn: 0.000 0.000 0.289
Zn: 0.275 0.000 0.153
Zn: 0.500 0.000 0.330
Cu: 0.215 0.000 0.799
Cu: 0.500 0.000 0.662

***

4.
Crystalline LiZn8Cu4 at its relaxed geometry. Source: the Alexandria database, functional PBE-GGA.

## Properties
Uncorrected energy, eV/cell: -59.87
Polymorph energy (0 for the lowest one), meV/atom: 0
Size of the total moment, μB/f.u.: 0.000
DFT formation energy, meV/atom: -111

Cell: 8.675 8.675 4.991 Å, 90.00 90.00 90.00°
Space group I4/mmm (No. 139)
Symmetry-distinct sites (fractional):
Li: 0.000 0.000 0.000
Zn: 0.000 0.215 0.500
Zn: 0.000 0.337 0.000
Cu: 0.250 0.250 0.250